Record 1
Compound: Tb6BiSb3Se2
Source: the Alexandria database
Functional: GGA-PBE
Structure: optimized geometry

a b c (Å): 4.3349 8.6435 9.6511
angles (deg): 102.76 102.98 90.00
Last column: nearest neighbours and their distance in Å.
Sites, in units of the cell vectors:
Tb 0.6704 0.0904 0.3408  3 Sb 3.03-3.10, 2 Se 3.04, 1 Bi 3.12
Tb 0.0048 0.2574 0.0095  1 Se 3.01, 3 Sb 3.03-3.09, 2 Bi 3.09
Tb 0.3311 0.4206 0.6621  3 Se 2.97-3.02, 3 Sb 3.09-3.10
Tb 0.6689 0.5794 0.3379  3 Se 2.97-3.02, 3 Sb 3.09-3.10
Tb 0.3296 0.9096 0.6592  3 Sb 3.03-3.10, 2 Se 3.04, 1 Bi 3.12
Tb 0.9952 0.7426 0.9905  1 Se 3.01, 3 Sb 3.03-3.09, 2 Bi 3.09
Se 0.8310 0.6638 0.6620  6 Tb 2.97-3.04
Se 0.1690 0.3362 0.3380  6 Tb 2.97-3.04
Sb 0.5000 0.5000 0.0000  6 Tb 3.03-3.10
Sb 0.8359 0.1689 0.6717  6 Tb 3.03-3.10
Sb 0.1641 0.8311 0.3283  6 Tb 3.03-3.10
Bi 0.5000 0.0000 0.0000  6 Tb 3.09-3.12

Output
- D(E_F) (states/eV/cell) = 4.32

***

Record 2
Compound: TcBiSb2Se
Source: the Alexandria database
Functional: GGA-PBE
Structure: optimized geometry

a b c (Å): 5.4013 4.6037 5.4013
angles (deg): 90.00 90.00 90.00
Last column: nearest neighbours and their distance in Å.
Sites, in units of the cell vectors:
Se 0.0000 0.5000 0.0000  2 Tc 2.30
Sb 0.5000 0.0000 0.0000  2 Tc 2.70
Sb 0.0000 0.0000 0.5000  2 Tc 2.70
Bi 0.5000 0.5000 0.5000  8 Sb 3.55, 4 Se 3.82
Tc 0.0000 0.0000 0.0000  2 Se 2.30

Output
- D(E_F) (states/eV/cell) = 3.03

***

Record 3
Compound: BiSbTeSe2
Source: the Alexandria database
Functional: GGA-PBE
Structure: optimized geometry

a b c (Å): 5.5523 7.0850 8.4607
angles (deg): 103.16 90.00 90.00
Last column: nearest neighbours and their distance in Å.
Sites, in units of the cell vectors:
Te 0.7500 0.9721 0.2653  1 Sb 2.91, 1 Bi 3.24
Te 0.2500 0.0279 0.7347  1 Sb 2.91, 1 Bi 3.24
Bi 0.7500 0.2817 0.6118  4 Se 2.88-3.01
Bi 0.2500 0.7183 0.3882  4 Se 2.88-3.01
Sb 0.2500 0.7021 0.8914  3 Se 2.71-2.84, 1 Te 2.91
Sb 0.7500 0.2979 0.1086  3 Se 2.71-2.84, 1 Te 2.91
Se 0.7500 0.5582 0.3975  1 Sb 2.71, 3 Bi 2.96-3.01
Se 0.2500 0.4418 0.6025  1 Sb 2.71, 3 Bi 2.96-3.01
Se 0.2500 0.3867 0.1180  2 Sb 2.84, 1 Bi 2.88
Se 0.7500 0.6133 0.8820  2 Sb 2.84, 1 Bi 2.88

***

Record 4
Compound: Th4Bi2SbSe
Source: the Alexandria database
Functional: GGA-PBE
Structure: optimized geometry

a b c (Å): 4.4757 7.7916 7.7430
angles (deg): 70.55 90.00 90.00
Last column: nearest neighbours and their distance in Å.
Sites, in units of the cell vectors:
Th 0.0000 0.7217 0.7714  2 Se 3.01, 1 Sb 3.13, 3 Bi 3.22-3.33
Th 0.5000 0.2716 0.7573  1 Se 2.99, 2 Sb 3.13, 2 Bi 3.22
Th 0.0000 0.2783 0.2286  2 Se 3.01, 1 Sb 3.13, 3 Bi 3.22-3.33
Th 0.5000 0.7284 0.2427  1 Se 2.99, 2 Sb 3.13, 2 Bi 3.22
Bi 0.0000 0.0000 0.0000  6 Th 3.22
Bi 0.5000 0.0000 0.5000  6 Th 3.33-3.35
Se 0.5000 0.5000 0.0000  6 Th 2.99-3.01
Sb 0.0000 0.5000 0.5000  6 Th 3.13

Output
- D(E_F) (states/eV/cell) = 6.52

***

Record 5
Compound: Th4BiSbSe2
Source: the Alexandria database
Functional: GGA-PBE
Structure: optimized geometry

a b c (Å): 4.4083 7.5242 7.6215
angles (deg): 70.23 90.00 90.00
Last column: nearest neighbours and their distance in Å.
Sites, in units of the cell vectors:
Sb 0.5000 0.5000 0.0000  6 Th 3.20
Th 0.0000 0.7775 0.7462  3 Se 2.96-3.01, 2 Sb 3.20, 1 Bi 3.25
Th 0.5000 0.7812 0.2344  3 Se 2.96-3.01, 1 Sb 3.20, 2 Bi 3.25
Th 0.5000 0.2188 0.7656  3 Se 2.96-3.01, 1 Sb 3.20, 2 Bi 3.25
Th 0.0000 0.2225 0.2538  3 Se 2.96-3.01, 2 Sb 3.20, 1 Bi 3.25
Se 0.0000 0.0000 0.0000  6 Th 2.96
Se 0.5000 0.0000 0.5000  6 Th 3.01
Bi 0.0000 0.5000 0.5000  6 Th 3.25

Output
- D(E_F) (states/eV/cell) = 7.03

***

Record 6
Compound: Th6BiSb3Se2
Source: the Alexandria database
Functional: GGA-PBE
Structure: optimized geometry

a b c (Å): 4.4580 8.7828 9.8867
angles (deg): 102.65 103.03 90.00
Last column: nearest neighbours and their distance in Å.
Sites, in units of the cell vectors:
Sb 0.1599 0.8324 0.3197  6 Th 3.15-3.24
Sb 0.8401 0.1676 0.6803  6 Th 3.15-3.24
Sb 0.5000 0.5000 0.0000  6 Th 3.10-3.21
Se 0.8298 0.6639 0.6596  6 Th 2.98-3.04
Se 0.1702 0.3361 0.3404  6 Th 2.98-3.04
Th 0.6723 0.1041 0.3447  2 Se 3.03, 3 Sb 3.15-3.23, 1 Bi 3.24
Th 0.9888 0.7382 0.9776  1 Se 2.98, 3 Sb 3.10-3.21, 2 Bi 3.17
Th 0.3291 0.4283 0.6582  3 Se 2.99-3.04, 3 Sb 3.21-3.24
Th 0.0112 0.2618 0.0224  1 Se 2.98, 3 Sb 3.10-3.21, 2 Bi 3.17
Th 0.3277 0.8959 0.6553  2 Se 3.03, 3 Sb 3.15-3.23, 1 Bi 3.24
Th 0.6709 0.5717 0.3418  3 Se 2.99-3.04, 3 Sb 3.21-3.24
Bi 0.5000 0.0000 0.0000  6 Th 3.17-3.24

Output
- D(E_F) (states/eV/cell) = 9.79

***

Record 7
Compound: Th6Bi3SbSe2
Source: the Alexandria database
Functional: GGA-PBE
Structure: optimized geometry

a b c (Å): 7.6871 7.6871 7.7572
angles (deg): 99.52 99.52 119.98
Last column: nearest neighbours and their distance in Å.
Sites, in units of the cell vectors:
Th 0.5756 0.9237 0.7748  2 Se 2.98-2.99, 1 Sb 3.15, 3 Bi 3.24-3.32
Th 0.2789 0.2789 0.7852  2 Se 2.98, 1 Sb 3.12, 3 Bi 3.20-3.29
Th 0.4244 0.0763 0.2252  2 Se 2.98-2.99, 1 Sb 3.15, 3 Bi 3.24-3.32
Th 0.7211 0.7211 0.2148  2 Se 2.98, 1 Sb 3.12, 3 Bi 3.20-3.29
Th 0.9237 0.5756 0.7748  2 Se 2.98-2.99, 1 Sb 3.15, 3 Bi 3.24-3.32
Th 0.0763 0.4244 0.2252  2 Se 2.98-2.99, 1 Sb 3.15, 3 Bi 3.24-3.32
Se 0.3306 0.6694 0.0000  6 Th 2.98-2.99
Se 0.6694 0.3306 0.0000  6 Th 2.98-2.99
Bi 0.1584 0.8416 0.5000  6 Th 3.24-3.32
Bi 0.5000 0.5000 0.5000  6 Th 3.20-3.30
Bi 0.8416 0.1584 0.5000  6 Th 3.24-3.32
Sb 0.0000 0.0000 0.0000  6 Th 3.12-3.15

Output
- D(E_F) (states/eV/cell) = 8.70

***

Record 8
Compound: Tl2BiSbSe4
Source: the Alexandria database
Functional: GGA-PBE
Structure: optimized geometry

a b c (Å): 8.7607 8.7607 8.7979
angles (deg): 120.14 120.14 90.00
Last column: nearest neighbours and their distance in Å.
Sites, in units of the cell vectors:
Tl 0.5000 0.5000 0.0000  6 Se 3.26
Tl 0.5000 0.0000 0.0000  6 Se 3.21
Tl 0.5000 0.0000 0.5000  6 Se 3.21
Tl 0.0000 0.0000 0.5000  6 Se 3.26
Se 0.7806 0.2554 0.0180  1 Sb 2.95, 2 Bi 2.99, 3 Tl 3.21-3.26
Se 0.2412 0.2588 0.0246  2 Sb 2.95, 1 Bi 3.00, 3 Tl 3.21-3.26
Se 0.2446 0.7194 0.4820  1 Sb 2.95, 2 Bi 2.99, 3 Tl 3.21-3.26
Se 0.7588 0.7412 0.5246  2 Sb 2.95, 1 Bi 3.00, 3 Tl 3.21-3.26
Se 0.7588 0.7412 0.9754  2 Sb 2.95, 1 Bi 3.00, 3 Tl 3.21-3.26
Se 0.2412 0.2588 0.4754  2 Sb 2.95, 1 Bi 3.00, 3 Tl 3.21-3.26
Se 0.2194 0.7446 0.9820  1 Sb 2.95, 2 Bi 2.99, 3 Tl 3.21-3.26
Se 0.7554 0.2806 0.5180  1 Sb 2.95, 2 Bi 2.99, 3 Tl 3.21-3.26
Bi 0.0000 0.5000 0.5000  6 Se 2.99-3.00
Bi 0.0000 0.5000 0.0000  6 Se 2.99-3.00
Sb 0.0000 0.0000 0.0000  6 Se 2.95
Sb 0.5000 0.5000 0.5000  6 Se 2.95

Output
- D(E_F) (states/eV/cell) = 0.31

***

Record 9
Compound: Tl3BiSb2Se6
Source: the Alexandria database
Functional: GGA-PBE
Structure: optimized geometry

a b c (Å): 7.3655 7.3655 7.9977
angles (deg): 98.82 98.82 119.97
Last column: nearest neighbours and their distance in Å.
Sites, in units of the cell vectors:
Se 0.0713 0.4105 0.2138  2 Sb 2.93, 1 Bi 2.98, 1 Tl 3.27
Se 0.5895 0.9287 0.7862  2 Sb 2.93, 1 Bi 2.98, 1 Tl 3.27
Se 0.2686 0.2686 0.7880  2 Sb 2.92, 1 Bi 2.98, 1 Tl 3.26
Se 0.9287 0.5895 0.7862  2 Sb 2.93, 1 Bi 2.98, 1 Tl 3.27
Se 0.4105 0.0713 0.2138  2 Sb 2.93, 1 Bi 2.98, 1 Tl 3.27
Se 0.7314 0.7314 0.2120  2 Sb 2.92, 1 Bi 2.98, 1 Tl 3.26
Tl 0.8354 0.1646 0.5000  6 Se 3.27-3.30
Tl 0.5000 0.5000 0.5000  6 Se 3.26-3.30
Tl 0.1646 0.8354 0.5000  6 Se 3.27-3.30
Sb 0.6668 0.3332 0.0000  6 Se 2.92-2.93
Sb 0.3332 0.6668 0.0000  6 Se 2.92-2.93
Bi 0.0000 0.0000 0.0000  6 Se 2.98

Output
- D(E_F) (states/eV/cell) = 0.03

***

Record 10
Compound: Tm4BiSb2Se
Source: the Alexandria database
Functional: GGA-PBE
Structure: optimized geometry

a b c (Å): 4.2939 7.4240 7.4319
angles (deg): 70.60 90.00 90.00
Last column: nearest neighbours and their distance in Å.
Sites, in units of the cell vectors:
Se 0.0000 0.5000 0.5000  6 Tm 3.00-3.01
Tm 0.0000 0.7518 0.7428  1 Se 3.00, 3 Sb 3.01-3.06, 2 Bi 3.06
Tm 0.5000 0.2515 0.7442  3 Sb 3.00-3.06, 2 Se 3.01, 1 Bi 3.06
Tm 0.0000 0.2482 0.2572  1 Se 3.00, 3 Sb 3.01-3.06, 2 Bi 3.06
Tm 0.5000 0.7485 0.2558  3 Sb 3.00-3.06, 2 Se 3.01, 1 Bi 3.06
Sb 0.0000 0.0000 0.0000  6 Tm 3.06
Sb 0.5000 0.0000 0.5000  6 Tm 3.00-3.01
Bi 0.5000 0.5000 0.0000  6 Tm 3.06

Output
- D(E_F) (states/eV/cell) = 1.38

***

Record 11
Compound: Tm6Bi3SbSe2
Source: the Alexandria database
Functional: GGA-PBE
Structure: optimized geometry

a b c (Å): 7.4188 7.4188 7.4204
angles (deg): 99.58 99.58 120.01
Last column: nearest neighbours and their distance in Å.
Sites, in units of the cell vectors:
Bi 0.1631 0.8369 0.5000  6 Tm 3.07-3.10
Bi 0.8369 0.1631 0.5000  6 Tm 3.07-3.10
Bi 0.5000 0.5000 0.5000  6 Tm 3.06-3.10
Tm 0.2637 0.2637 0.7679  2 Se 2.94, 1 Sb 3.01, 3 Bi 3.06-3.10
Tm 0.0792 0.4191 0.2384  2 Se 2.96, 1 Sb 3.02, 3 Bi 3.07-3.10
Tm 0.9208 0.5809 0.7616  2 Se 2.96, 1 Sb 3.02, 3 Bi 3.07-3.10
Tm 0.5809 0.9208 0.7616  2 Se 2.96, 1 Sb 3.02, 3 Bi 3.07-3.10
Tm 0.7363 0.7363 0.2321  2 Se 2.94, 1 Sb 3.01, 3 Bi 3.06-3.10
Tm 0.4191 0.0792 0.2384  2 Se 2.96, 1 Sb 3.02, 3 Bi 3.07-3.10
Se 0.3327 0.6673 0.0000  6 Tm 2.94-2.96
Se 0.6673 0.3327 0.0000  6 Tm 2.94-2.96
Sb 0.0000 0.0000 0.0000  6 Tm 3.01-3.02

Output
- D(E_F) (states/eV/cell) = 2.65

***

no.,formation energy (no corrections) (eV per atom),total magnetic moment (Bohr magnetons per cell),final energy (eV per atom)
1,-1.308,0.00,-5.558
2,0.302,0.00,-4.893
3,-0.137,0.00,-3.760
4,-0.882,0.00,-6.513
5,-1.133,0.00,-6.715
6,-1.036,0.00,-6.681
7,-0.941,0.00,-6.546
8,-0.391,0.00,-3.725
9,-0.389,0.00,-3.733
10,-1.143,0.00,-5.330
11,-1.112,0.00,-5.243